5
Lattice="5.439 0.000 0.000 0.000 5.439 0.000 0.000 0.000 5.439" Properties=species:S:1:pos:R:3 comment="NaGaSn3 PBE-GGA optimized geometry" polymorph_energy_mev_per_atom=648.7 formation_energy_mev_per_atom=646 pbc="T T T"
Sn 2.720 0.000 0.000
Sn 0.000 0.000 2.720
Sn 0.000 2.720 0.000
Na 0.000 0.000 0.000
Ga 2.720 2.720 2.720

---

4
Lattice="-2.484 -2.049 -0.606 -0.545 -0.291 3.217 -5.395 6.633 -0.313" Properties=species:S:1:pos:R:3 comment="Tl2CoHg PBE-GGA optimized geometry" polymorph_energy_mev_per_atom=86.9 formation_energy_mev_per_atom=395 pbc="T T T"
Tl -0.317 0.390 -0.018
Co -2.863 0.488 1.227
Tl -2.380 2.926 -0.138
Hg -5.561 3.804 1.071

---

3
Lattice="-3.699 -2.365 -0.678 3.567 -1.927 1.816 -2.126 1.632 5.908" Properties=species:S:1:pos:R:3 comment="PbBrCl PBE-GGA optimized geometry" polymorph_energy_mev_per_atom=1.2 formation_energy_uncorrected_ev_per_atom=-1.023 pbc="T T T"
Cl -2.193 -1.516 2.700
Br -1.945 1.493 5.405
Pb -0.246 -1.006 4.849

---

4
Lattice="-4.630 1.193 -1.042 -3.270 0.496 3.607 -1.705 4.437 1.165" Properties=species:S:1:pos:R:3 comment="NdMgNiAg PBE-GGA optimized geometry" formation_energy_mev_per_atom=-178 pbc="T T T"
Ni -4.803 3.063 1.864
Nd -7.204 4.594 2.797
Ag 0.000 0.000 0.000
Mg -2.401 1.531 0.932

---

Number 1: ρ 4.63 g cm⁻³, E_tot -2.625 eV per atom. Number 2: ρ 12.08 g cm⁻³, E_tot -2.640 eV per atom. Number 3: ρ 4.83 g cm⁻³, E_tot -3.432 eV per atom. Number 4: ρ 6.71 g cm⁻³, E_tot -3.926 eV per atom.